An optimized crystal structure of CuAg2MoOs, computed with GGA-PBE.

Crystal system: tetragonal
Final energy (eV/atom): -3.906
E above lowest polymorph (eV/atom): 0.817
ΔH_f (0 K) (eV/atom): 2.466

Structure (extended XYZ):
```
5
Lattice="4.950 0.000 0.000 0.000 4.950 0.000 0.000 0.000 4.541" Properties=species:S:1:pos:R:3 pbc="T T T"
Cu 0.000 0.000 0.000
Ag 0.000 2.475 2.271
Ag 2.475 0.000 2.271
Mo 0.000 0.000 2.271
Os 2.475 2.475 0.000
```

---

An optimized crystal structure of TaCuAgMo2, computed with GGA-PBE.

Crystal system: tetragonal
Final energy (eV/atom): -6.035
ΔH_f (0 K) (eV/atom): 2.057

Structure (extended XYZ):
```
5
Lattice="4.803 0.000 0.000 0.000 4.803 0.000 0.000 0.000 4.383" Properties=species:S:1:pos:R:3 pbc="T T T"
Ta 0.000 0.000 0.000
Cu 2.401 2.401 0.000
Ag 2.401 2.401 2.191
Mo 0.000 2.401 2.191
Mo 2.401 0.000 2.191
```

---

An optimized crystal structure of CuTc2AgMo, computed with GGA-PBE.

Crystal system: tetragonal
Final energy (eV/atom): -6.034
ΔH_f (0 K) (eV/atom): 1.668

Structure (extended XYZ):
```
5
Lattice="4.498 0.000 0.000 0.000 4.498 0.000 0.000 0.000 4.506" Properties=species:S:1:pos:R:3 pbc="T T T"
Cu 0.000 0.000 0.000
Tc 0.000 2.249 0.000
Tc 2.249 0.000 0.000
Ag 2.249 2.249 2.253
Mo 0.000 0.000 2.253
```

---

An optimized crystal structure of CuTcAg2Mo, computed with GGA-PBE.

Crystal system: tetragonal
Final energy (eV/atom): -4.133
ΔH_f (0 K) (eV/atom): 2.066

Structure (extended XYZ):
```
5
Lattice="5.019 0.000 0.000 0.000 5.019 0.000 0.000 0.000 4.595" Properties=species:S:1:pos:R:3 pbc="T T T"
Cu 0.000 0.000 0.000
Tc 2.510 2.510 0.000
Ag 0.000 2.510 2.298
Ag 2.510 0.000 2.298
Mo 0.000 0.000 2.298
```

---

An optimized crystal structure of CuAg3N, computed with GGA-PBE.

Crystal system: cubic
Final energy (eV/atom): -2.475
Formation energy without anion corrections (eV per atom): 1.720
E above lowest polymorph (eV/atom): 0.992

Structure (extended XYZ):
```
5
Lattice="4.724 0.000 0.000 0.000 4.724 0.000 0.000 0.000 4.724" Properties=species:S:1:pos:R:3 pbc="T T T"
Cu 0.000 0.000 0.000
Ag 0.000 0.000 2.362
Ag 0.000 2.362 0.000
Ag 2.362 0.000 0.000
N 2.362 2.362 2.362
```

---

An optimized crystal structure of CuAgN2, computed with GGA-PBE.

Crystal system: tetragonal
Final energy (eV/atom): -4.568
Formation energy without anion corrections (eV per atom): 1.331
E above lowest polymorph (eV/atom): 0.183

Structure (extended XYZ):
```
8
Lattice="-2.456 2.456 4.219 2.456 -2.456 4.219 2.456 2.456 -4.219" Properties=species:S:1:pos:R:3 pbc="T T T"
Cu 0.000 0.000 0.000
Cu 0.000 2.456 2.110
Ag 2.456 0.000 2.110
Ag 0.000 0.000 4.219
N 3.684 0.982 -1.055
N 0.982 1.228 1.055
N -1.228 1.474 3.165
N 1.474 1.228 5.274
```

---

An optimized crystal structure of CuAg2N, computed with GGA-PBE.

Crystal system: tetragonal
Final energy (eV/atom): -3.377
Formation energy without anion corrections (eV per atom): 1.154

Structure (extended XYZ):
```
8
Lattice="-2.415 2.415 6.318 2.415 -2.415 6.318 2.415 2.415 -6.318" Properties=species:S:1:pos:R:3 pbc="T T T"
Cu 0.000 0.000 0.000
Cu 0.000 2.415 3.159
Ag 1.207 -0.655 4.739
Ag 1.760 1.207 1.580
Ag 1.207 3.069 -1.580
Ag 0.655 1.207 7.898
N 2.415 0.000 3.159
N 0.000 0.000 6.318
```

---

An optimized crystal structure of CuAg3N, computed with GGA-PBE.

Crystal system: cubic
Final energy (eV/atom): -3.467
Formation energy without anion corrections (eV per atom): 0.728
E above lowest polymorph (eV/atom): 0.000

Structure (extended XYZ):
```
5
Lattice="4.324 0.000 0.000 0.000 4.324 0.000 0.000 0.000 4.324" Properties=species:S:1:pos:R:3 pbc="T T T"
Cu 0.000 0.000 0.000
Ag 0.000 2.162 2.162
Ag 2.162 0.000 2.162
Ag 2.162 2.162 0.000
N 2.162 2.162 2.162
```

---

An optimized crystal structure of Cu2AgN, computed with GGA-PBE.

Crystal system: tetragonal
Final energy (eV/atom): -4.354
Formation energy without anion corrections (eV per atom): 0.488

Structure (extended XYZ):
```
8
Lattice="-2.398 2.398 5.464 2.398 -2.398 5.464 2.398 2.398 -5.464" Properties=species:S:1:pos:R:3 pbc="T T T"
Cu 0.228 1.199 1.366
Cu -1.199 2.170 4.098
Cu -0.228 3.597 1.366
Cu 1.199 2.626 4.098
Ag 2.398 0.000 2.732
Ag 0.000 0.000 5.464
N 0.000 0.000 0.000
N 0.000 2.398 2.732
```

---

An optimized crystal structure of CuAgN2, computed with GGA-PBE.

Crystal system: cubic
Final energy (eV/atom): -4.212
Formation energy without anion corrections (eV per atom): 1.688
E above lowest polymorph (eV/atom): 0.539

Structure (extended XYZ):
```
4
Lattice="0.000 2.750 2.750 2.750 0.000 2.750 2.750 2.750 0.000" Properties=species:S:1:pos:R:3 pbc="T T T"
Cu 0.000 0.000 0.000
Ag 2.750 2.750 2.750
N 1.375 1.375 1.375
N 4.126 4.126 4.126
```

---

An optimized crystal structure of CuAgN2, computed with GGA-PBE.

Crystal system: trigonal
Final energy (eV/atom): -4.751
Formation energy without anion corrections (eV per atom): 1.148
E above lowest polymorph (eV/atom): 0.000

Structure (extended XYZ):
```
4
Lattice="1.489 0.860 6.119 -1.489 0.860 6.119 0.000 -1.719 6.119" Properties=species:S:1:pos:R:3 pbc="T T T"
Cu 0.000 0.000 0.000
Ag 0.000 0.000 9.179
N 0.000 0.000 7.077
N 0.000 0.000 11.280
```

---

An optimized crystal structure of CuAgN2, computed with GGA-PBE.

Crystal system: trigonal
Final energy (eV/atom): -4.555
Formation energy without anion corrections (eV per atom): 1.344
E above lowest polymorph (eV/atom): 0.196

Structure (extended XYZ):
```
4
Lattice="1.614 0.932 5.757 -1.614 0.932 5.757 0.000 -1.863 5.757" Properties=species:S:1:pos:R:3 pbc="T T T"
Cu 0.000 0.000 0.000
Ag 0.000 0.000 8.635
N 0.000 0.000 1.811
N 0.000 0.000 15.459
```

---

| no. | magnetic moment (μB per formula unit) |
| --- | --- |
| 1 | 2.5 |
| 2 | 0.0 |
| 3 | 1.2 |
| 4 | 3.3 |
| 5 | 0.0 |
| 6 | 0.0 |
| 7 | 0.0 |
| 8 | 0.0 |
| 9 | 0.0 |
| 10 | 0.0 |
| 11 | 0.0 |
| 12 | 0.0 |